Computed, not measured: crystalline Li3MnFe2B3O9 at its relaxed geometry at the PBE+U level of DFT.

Output
For the total moment, the calculation gives 13.001 μB/f.u. The space-group type is Pm, No. 6. The energy above the most stable polymorph in this dataset comes out at 0.065 kcal/mol of atoms.

a b c (Å): 3.1460 8.2335 8.2103
angles (deg): 119.65 90.00 90.00
Closest atoms and distances in Å follow each position.
Atoms (fractional coordinates):
Li (0.0000, 0.7233, 0.7024)  4 O 1.99-2.00
Li (0.0000, 0.9833, 0.2829)  4 O 1.97-2.02
O (0.5000, 0.8920, 0.8075)  1 B 1.38
Li (0.0000, 0.2978, 0.0164)  4 O 1.97-2.00
O (0.0000, 0.5579, 0.4236)  1 B 1.39
O (0.5000, 0.1961, 0.0859)  1 B 1.40
O (0.0000, 0.2196, 0.7474)  1 B 1.40
Fe (0.5000, 0.0140, 0.6341)  5 O 2.11-2.16
Fe (0.5000, 0.3606, 0.3686)  5 O 2.03-2.17
Mn (0.5000, 0.6271, 0.9885)  5 O 2.09-2.18
O (0.0000, 0.8583, 0.4411)  1 B 1.39
O (0.5000, 0.9186, 0.1141)  1 B 1.39
O (0.0000, 0.5258, 0.7764)  1 B 1.39
B (0.0000, 0.6641, 0.3350)  3 O 1.39
O (0.0000, 0.5771, 0.1411)  1 B 1.39
O (0.0000, 0.2511, 0.4701)  1 B 1.39
B (0.0000, 0.3324, 0.6638)  3 O 1.39-1.40
B (0.5000, 0.0009, 0.0010)  3 O 1.38-1.40